Entry 1:
## Er2ScIn4 (PBE)

Data for a geometry-optimized Er2ScIn4 structure.

Cell and atoms, written as CIF:
```
data_Er2ScIn4
_symmetry_space_group_name_H-M 'I 4/m m m'
_symmetry_Int_Tables_number 139
_symmetry_space_group_name_Hall '-I 4 2'
_cell_length_a 5.1166
_cell_length_b 5.1166
_cell_length_c 14.2944
_cell_angle_alpha 90.00
_cell_angle_beta 90.00
_cell_angle_gamma 90.00
loop_
_atom_site_label
_atom_site_type_symbol
_atom_site_fract_x
_atom_site_fract_y
_atom_site_fract_z
Er1 Er 0.0000 0.0000 0.2478
Sc1 Sc 0.0000 0.0000 0.0000
In1 In 0.0000 0.5000 0.1098
```

Calculated density = 7.44 g/cm3

=====

Entry 2:
## Er3Sc2In2 (PBE)

Data for a geometry-optimized Er3Sc2In2 structure.

Cell and atoms, written as CIF:
```
data_Er3Sc2In2
_symmetry_space_group_name_H-M 'P 1 2/m 1'
_symmetry_Int_Tables_number 10
_cell_length_a 5.2696
_cell_length_b 3.1926
_cell_length_c 10.9466
_cell_angle_alpha 90.00
_cell_angle_beta 103.81
_cell_angle_gamma 90.00
loop_
_symmetry_equiv_pos_as_xyz
'x,y,z'
'-x,-y,-z'
'-x,y,-z'
'x,-y,z'
loop_
_atom_site_label
_atom_site_type_symbol
_atom_site_fract_x
_atom_site_fract_y
_atom_site_fract_z
Er1 Er 0.0000 0.0000 0.0000
Er2 Er 0.2888 0.0000 0.5789
Sc1 Sc 0.4304 0.0000 0.8583
In1 In 0.1428 0.5000 0.2847
```

Calculated density = 7.63 g/cm3

=====

Number 1: E_tot -4.090 eV/atom, total magnetization 0.15 μB per formula unit. Number 2: E_tot -4.554 eV/atom, total magnetization 0.92 μB per formula unit.